KRb2HW | the Alexandria database | GGA-PBE | optimized geometry; offset from the most stable computed form = 98.9 meV per atom; Fermi-level density of states = 0.946 states/eV per atom; space-group type = P4/mmm, No. 123
1.0
7.359 0.000 0.000
0.000 3.655 0.000
0.000 0.000 7.359
W Rb K H
1 2 1 1
Cartesian
0.000 0.000 0.000
3.680 0.000 0.000
0.000 0.000 3.680
3.680 1.828 3.680
0.000 1.828 0.000

Pr2CN4 | the Alexandria database | GGA-PBE | optimized geometry; formation energy without anion corrections = -0.500 eV per atom; space-group type = P2_1/m, No. 11
1.0
5.591 0.000 -0.388
0.000 5.434 0.000
-2.555 0.000 5.995
C Pr N
2 4 8
Cartesian
0.959 4.075 1.572
2.077 1.358 4.035
1.772 1.358 0.039
1.264 4.075 5.568
3.550 4.075 3.355
-0.515 1.358 2.252
1.400 0.110 3.518
1.778 1.358 5.514
1.400 2.607 3.518
-0.466 4.075 1.926
1.258 4.075 0.093
1.635 2.827 2.089
1.635 5.324 2.089
3.502 1.358 3.681

Summary of VASP energy in Ry/atom
-0.1956 -0.5836
(order as listed above)